DFT (GGA+U) results for crystalline K2SrMoF8 at its relaxed geometry.

E	-5.14	eV/atom
D(E_F)	0.000	states/eV per cell

Cell lengths 4.3066, 6.1450, 7.8699 Å; angles 89.18, 89.86, 83.94 degrees
Closest atoms and distances in Å follow each position.
Sites, in units of the cell vectors:
K  0.0034  0.0047  0.2520  6 F 2.58-2.76
K  0.9966  0.9953  0.7480  6 F 2.58-2.76
Sr  0.5000  0.5000  0.0000  6 F 2.44-2.71
Mo  0.5000  0.5000  0.5000  6 F 1.98-2.08
F  0.0035  0.7298  0.0057  2 Sr 2.44-2.71, 2 K 2.58-2.59
F  0.1024  0.6924  0.5038  1 Mo 1.98
F  0.4120  0.3035  0.6968  1 Mo 2.01
F  0.4231  0.3039  0.2950  1 Mo 2.08
F  0.5769  0.6961  0.7050  1 Mo 2.08
F  0.5880  0.6965  0.3032  1 Mo 2.01
F  0.8976  0.3076  0.4962  1 Mo 1.98
F  0.9965  0.2702  0.9943  2 Sr 2.44-2.71, 2 K 2.58-2.59